Record 1
DFT (GGA-PBE) results for a relaxed BeCrFe2 crystal.

Output
N(E_F)   1.151 states/eV/atom
SG   No. 166
Crystal system   trigonal
E_form   0.096 eV/atom

Unit cell a=7.927 b=7.927 c=7.927 alpha=18.05 beta=18.05 gamma=18.05
Last column: magnetic moment on the atom in μB.
Fractional positions:
Be (0.250, 0.250, 0.250)  -0.04
Fe (0.503, 0.503, 0.503)  1.45
Fe (0.997, 0.997, 0.997)  1.45
Cr (0.750, 0.750, 0.750)  -0.69

=====

Record 2
DFT (GGA-PBE) results for a relaxed Zn2AgPt crystal.

Output
N(E_F)   0.452 states/eV/atom
SG   No. 160
Crystal system   trigonal
E_form   -0.101 eV/atom

Unit cell a=9.320 b=9.320 c=9.320 alpha=17.44 beta=17.44 gamma=17.44
Fractional positions:
Pt (0.746, 0.746, 0.746)
Zn (0.003, 0.003, 0.003)
Zn (0.250, 0.250, 0.250)
Ag (0.501, 0.501, 0.501)

=====

Record 3
DFT (GGA-PBE) results for a relaxed Sr2MgInH crystal.

Output
N(E_F)   0.573 states/eV/atom
SG   No. 123
Energy above the most stable polymorph in this dataset   0.0855 eV/atom
Crystal system   tetragonal

Unit cell a=5.477 b=5.477 c=4.544 alpha=90.00 beta=90.00 gamma=90.00
Fractional positions:
H (0.000, 0.000, 0.000)
Sr (0.000, 0.500, 0.000)
Sr (0.500, 0.000, 0.000)
In (0.000, 0.000, 0.500)
Mg (0.500, 0.500, 0.500)

=====

Record 4
DFT (GGA-PBE) results for a relaxed NiHgMo3 crystal.

Output
N(E_F)   1.929 states/eV/atom
SG   No. 221
Energy above the most stable polymorph in this dataset   1.6539 eV/atom
Crystal system   cubic
E_form   2.911 eV/atom

Unit cell a=4.900 b=4.900 c=4.900 alpha=90.00 beta=90.00 gamma=90.00
Fractional positions:
Mo (0.500, 0.000, 0.000)
Mo (0.000, 0.500, 0.000)
Mo (0.000, 0.000, 0.500)
Hg (0.000, 0.000, 0.000)
Ni (0.500, 0.500, 0.500)